Density functional theory data (PBE) for an optimized crystal structure of Cr2InSe.

abc: 4.675 4.668 3.464
angles: 90.00 90.00 90.00
Each line ends with the local moment (μB).
Positions (direct):
In1 0.500 0.000 0.500  -0.08
Cr1 0.000 0.000 0.000  3.65
Cr2 0.500 0.500 0.000  3.65
Se1 0.000 0.500 0.500  -0.09

* formation energy without anion corrections: 0.38 eV per atom
* size of the total moment: 7.94 μB per cell
* offset from the most stable computed form: 254 meV per atom